Entry 1:
Cr3PIr | SCAN | PBEsol geometry

Calculated density: 9.352 g/cm³
DFT formation energy: 66 kJ per mole of atoms
N(E_F): 0.925 states/eV per atom
Space group: Pm-3m

abc: 4.0682 4.0682 4.0682
angles: 90.00 90.00 90.00
Fractional coordinates of all 5 atoms:
Cr (0.0000, 0.0000, 0.5000)
Cr (0.0000, 0.5000, 0.0000)
Cr (0.5000, 0.0000, 0.0000)
P (0.0000, 0.0000, 0.0000)
Ir (0.5000, 0.5000, 0.5000)

***

Entry 2:
MnFeSi2 | SCAN | PBEsol geometry

Calculated density: 6.382 g/cm³
Formation energy from raw total energies: -424 meV per atom
N(E_F): 0.392 states/eV per atom
Space group: P2_1

abc: 4.4301 4.4256 4.4314
angles: 90.00 90.24 90.00
Fractional coordinates of all 8 atoms:
Mn (0.1348, 0.0000, 0.1105)
Mn (0.8652, 0.5000, 0.8895)
Fe (0.3603, 0.7250, 0.6132)
Fe (0.6397, 0.2250, 0.3868)
Si (0.1604, 0.2066, 0.5927)
Si (0.3480, 0.5192, 0.0944)
Si (0.6520, 0.0192, 0.9056)
Si (0.8396, 0.7066, 0.4073)

***

Entry 3:
ScIrSeBr2 | SCAN | PBEsol geometry

Calculated density: 6.614 g/cm³
Formation energy from raw total energies: 34 meV per atom
N(E_F): 0.766 states/eV per atom
Space group: P4/mmm

abc: 4.9313 4.9313 4.9140
angles: 90.00 90.00 90.00
Fractional coordinates of all 5 atoms:
Sc (0.0000, 0.0000, 0.0000)
Ir (0.5000, 0.5000, 0.5000)
Se (0.5000, 0.5000, 0.0000)
Br (0.0000, 0.5000, 0.5000)
Br (0.5000, 0.0000, 0.5000)

***

Entry 4:
MgAlAu2 | SCAN | PBEsol geometry

Calculated density: 11.227 g/cm³
DFT formation energy: -63 kJ per mole of atoms
N(E_F): 0.251 states/eV per atom
Space group: P4/mmm

abc: 4.4388 4.4388 3.3421
angles: 90.00 90.00 90.00
Fractional coordinates of all 4 atoms:
Mg (0.0000, 0.0000, 0.0000)
Al (0.5000, 0.5000, 0.0000)
Au (0.0000, 0.5000, 0.5000)
Au (0.5000, 0.0000, 0.5000)

***

Entry 5:
Sr2ZrBr | SCAN | PBEsol geometry

Calculated density: 4.635 g/cm³
Formation energy from raw total energies: -171 meV per atom
N(E_F): 0.814 states/eV per atom
Relative energy among the computed polymorphs: 0.000 eV/atom
Space group: Cm

abc: 6.9242 6.9242 5.9090
angles: 115.13 115.13 29.17
Fractional coordinates of all 4 atoms:
Sr (0.0000, 0.0000, 0.0000)
Sr (0.1960, 0.1960, 0.6954)
Zr (0.7769, 0.7769, 0.2759)
Br (0.4658, 0.4658, 0.4658)

***

Entry 6:
CoBSe2 | SCAN | PBEsol geometry

Calculated density: 5.626 g/cm³
Formation energy from raw total energies: 318 meV per atom
N(E_F): 0.333 states/eV per atom
Space group: R-3m

abc: 6.4970 6.4970 6.4970
angles: 31.69 31.69 31.69
Fractional coordinates of all 4 atoms:
Co (0.0000, 0.0000, 0.0000)
B (0.5000, 0.5000, 0.5000)
Se (0.3991, 0.3991, 0.3991)
Se (0.6009, 0.6009, 0.6009)